a | Entry from the Alexandria database: a geometry-optimized Sr3PtAu structure (PBE).

Properties
- total moment (μB/atom) = 0.0000
- volume (Å³/f.u.) = 166.1
- SG = P2_1/c (14)

```
20
Lattice="7.879 0.000 0.000 0.000 8.567 -3.153 0.000 0.551 9.639" Properties=species:S:1:pos:R:3 pbc="T T T"
Sr 1.482 8.559 -1.657
Sr 7.830 2.128 4.572
Sr 0.049 6.989 1.914
Sr 3.989 6.412 2.995
Sr 5.140 7.768 -0.692
Sr 1.200 5.634 5.601
Sr 3.891 2.706 3.491
Sr 2.458 4.276 -0.081
Sr 2.739 1.350 7.178
Sr 6.679 3.484 0.885
Sr 6.397 0.559 8.143
Sr 5.422 4.842 6.567
Au 0.253 3.312 7.703
Au 3.686 7.596 6.127
Au 7.626 5.806 -1.217
Au 4.193 1.522 0.359
Pt 1.352 4.363 2.780
Pt 2.588 8.647 1.203
Pt 6.528 4.755 3.707
Pt 5.291 0.471 5.283
```

b | Entry from the Alexandria database: a geometry-optimized Sr3PtAu structure (PBE).

Properties
- total moment (μB/atom) = 0.0000
- volume (Å³/f.u.) = 193.6
- SG = Pm-3m (221)

```
5
Lattice="5.785 0.000 0.000 0.000 5.785 0.000 0.000 0.000 5.785" Properties=species:S:1:pos:R:3 pbc="T T T"
Sr 2.893 0.000 0.000
Sr 0.000 0.000 2.893
Sr 0.000 2.893 0.000
Au 2.893 2.893 2.893
Pt 0.000 0.000 0.000
```

c | Entry from the Alexandria database: a geometry-optimized Sr3PtAu structure (PBE).

Properties
- total moment (μB/atom) = 0.0000
- volume (Å³/f.u.) = 173.7
- SG = P1 (1)

```
10
Lattice="-2.719 2.032 2.640 -5.246 -7.623 0.464 2.816 -5.362 7.028" Properties=species:S:1:pos:R:3 pbc="T T T"
Sr -0.937 -0.044 1.614
Sr -0.420 -1.926 7.102
Sr -2.116 -5.527 8.126
Sr -5.520 -3.360 2.943
Sr -1.690 -4.085 3.948
Sr -5.070 -6.362 5.717
Au -2.528 -8.556 6.526
Au -2.661 -1.045 4.111
Pt 0.094 -4.743 6.296
Pt -3.935 -5.876 3.010
```

Relative energies, unit meV per atom: a 0; b 250; c 76

a | Entry from the Alexandria database: a geometry-optimized TaPtAu2 structure (PBE).

Properties
- total moment (μB/atom) = 0.0000
- volume (Å³/f.u.) = 68.6
- SG = I-4m2 (119)

```
4
Lattice="4.856 -0.031 -0.031 1.190 4.708 0.031 -3.008 -2.358 2.996" Properties=species:S:1:pos:R:3 pbc="T T T"
Au 6.045 4.676 0.000
Au 2.436 -0.025 1.482
Pt 3.025 2.340 0.000
Ta 0.601 2.343 1.514
```

b | Entry from the Alexandria database: a geometry-optimized TaPtAu2 structure (PBE).

Properties
- total moment (μB/atom) = 0.0000
- volume (Å³/f.u.) = 69.7
- SG = R3m (160)

```
4
Lattice="9.657 0.010 0.006 9.216 2.886 0.006 9.216 1.414 2.516" Properties=species:S:1:pos:R:3 pbc="T T T"
Ta 21.131 3.242 1.901
Au 6.995 1.073 0.629
Au 0.066 0.010 0.006
Pt 13.941 2.139 1.254
```

Relative energies, unit meV per atom: a 0; b 29

a | Entry from the Alexandria database: a geometry-optimized TaPtAu2 structure (PBE).

Properties
- total moment (μB/atom) = 0.0000
- volume (Å³/f.u.) = 70.4
- SG = Pmmm (47)

```
4
Lattice="-1.876 -2.028 -0.727 3.056 -3.429 1.679 -2.130 0.335 4.559" Properties=species:S:1:pos:R:3 pbc="T T T"
Pt -2.003 -0.846 1.916
Au 0.000 0.000 0.000
Au 0.590 -2.728 0.476
Ta 0.463 -1.547 3.119
```

b | Entry from the Alexandria database: a geometry-optimized TaPtAu2 structure (PBE).

Properties
- total moment (μB/atom) = 0.0000
- volume (Å³/f.u.) = 69.1
- SG = P2/m (10)

```
4
Lattice="2.850 0.000 0.000 0.000 4.963 0.035 0.000 3.299 4.907" Properties=species:S:1:pos:R:3 pbc="T T T"
Ta 0.000 1.650 2.453
Au 1.425 2.482 0.018
Au 0.000 0.000 0.000
Pt 1.425 4.131 2.471
```

c | Entry from the Alexandria database: a geometry-optimized TaPtAu2 structure (PBE).

Properties
- total moment (μB/atom) = 0.0000
- volume (Å³/f.u.) = 69.4
- SG = P4mm (99)

```
4
Lattice="-1.698 -1.794 -1.539 -0.597 -1.508 2.416 -6.439 4.858 1.441" Properties=species:S:1:pos:R:3 pbc="T T T"
Pt -3.322 2.506 0.743
Ta -5.913 1.944 1.505
Au -6.371 4.807 1.426
Au -2.787 -0.414 0.805
```

Relative energies, unit meV per atom: a 257; b 214; c 0

a | Entry from the Alexandria database: a geometry-optimized TaPtAu2 structure (PBE).

Properties
- total moment (μB/atom) = 0.0000
- volume (Å³/f.u.) = 75.9
- SG = I-42d (122)

```
8
Lattice="7.496 0.000 0.000 0.000 7.496 0.000 3.748 3.748 2.700" Properties=species:S:1:pos:R:3 pbc="T T T"
Pt 0.000 0.000 0.000
Pt 7.496 3.748 1.350
Au 5.622 5.665 2.025
Au 9.370 9.327 2.025
Au 5.579 1.874 0.675
Au 1.917 5.622 0.675
Ta 3.748 7.496 1.350
Ta 3.748 3.748 0.000
```

b | Entry from the Alexandria database: a geometry-optimized TaPtAu2 structure (PBE).

Properties
- total moment (μB/atom) = 0.0000
- volume (Å³/f.u.) = 68.7
- SG = Pmmm (47)

```
4
Lattice="2.920 0.000 0.000 0.000 4.032 0.000 0.000 0.000 5.838" Properties=species:S:1:pos:R:3 pbc="T T T"
Au 0.000 0.000 2.928
Au 0.000 0.000 5.828
Ta 1.460 2.016 4.378
Pt 1.460 2.016 1.459
```

c | Entry from the Alexandria database: a geometry-optimized TaPtAu2 structure (PBE).

Properties
- total moment (μB/atom) = 0.0000
- volume (Å³/f.u.) = 69.9
- SG = Pm (6)

```
4
Lattice="-1.857 -2.417 2.291 2.244 0.004 1.824 -0.289 4.910 4.945" Properties=species:S:1:pos:R:3 pbc="T T T"
Au -0.454 0.047 2.855
Au -0.277 4.878 4.922
Ta 0.583 2.388 6.166
Pt 0.934 2.550 3.448
```

d | Entry from the Alexandria database: a geometry-optimized TaPtAu2 structure (PBE).

Properties
- total moment (μB/atom) = 0.0000
- volume (Å³/f.u.) = 68.8
- SG = Cm (8)

```
4
Lattice="-3.403 1.903 -3.072 -1.429 0.559 -4.721 -3.053 -4.016 -0.381" Properties=species:S:1:pos:R:3 pbc="T T T"
Pt -3.979 -0.875 -4.050
Au -0.022 0.010 -0.035
Au -1.945 -0.372 -2.026
Ta -5.883 -1.095 -6.150
```

Relative energies, unit meV per atom: a 525; b 126; c 0; d 40

a | Entry from the Alexandria database: a geometry-optimized TaPtAu2 structure (PBE).

Properties
- total moment (μB/atom) = 0.0000
- volume (Å³/f.u.) = 68.5
- SG = Fm-3m (225)

```
4
Lattice="-3.843 -1.028 2.295 -3.954 2.059 -1.104 -3.336 -2.390 -2.061" Properties=species:S:1:pos:R:3 pbc="T T T"
Ta 0.000 0.000 0.000
Pt -5.566 -0.680 -0.435
Au -8.349 -1.019 -0.653
Au -2.783 -0.340 -0.218
```

b | Entry from the Alexandria database: a geometry-optimized TaPtAu2 structure (PBE).

Properties
- total moment (μB/atom) = 0.0000
- volume (Å³/f.u.) = 68.5
- SG = C2/m (12)

```
4
Lattice="5.055 0.000 -0.009 4.232 2.765 -0.009 0.747 0.222 4.902" Properties=species:S:1:pos:R:3 pbc="T T T"
Au 0.783 0.233 4.878
Au 4.981 1.483 2.465
Pt 2.509 0.747 1.221
Ta 7.526 2.240 3.663
```

Relative energies, unit meV per atom: a 90; b 0

a | Entry from the Alexandria database: a geometry-optimized TaPtAu2 structure (PBE).

Properties
- total moment (μB/atom) = 0.0002
- volume (Å³/f.u.) = 70.5
- SG = P4/mmm (123)

```
4
Lattice="-0.755 2.046 4.198 -3.654 -1.243 -0.052 1.081 -3.251 1.779" Properties=species:S:1:pos:R:3 pbc="T T T"
Ta 0.163 -0.603 2.989
Au -1.287 -2.247 0.864
Au 0.000 0.000 0.000
Pt -2.205 0.401 2.073
```

b | Entry from the Alexandria database: a geometry-optimized TaPtAu2 structure (PBE).

Properties
- total moment (μB/atom) = 0.0000
- volume (Å³/f.u.) = 68.3
- SG = I4/mmm (139)

```
4
Lattice="-0.617 -4.957 0.044 1.279 -1.845 -4.463 2.398 3.071 3.127" Properties=species:S:1:pos:R:3 pbc="T T T"
Ta 2.004 -1.088 -1.772
Au 0.331 -3.401 -2.209
Au 0.000 0.000 0.000
Pt 1.056 -2.644 0.481
```

c | Entry from the Alexandria database: a geometry-optimized TaPtAu2 structure (PBE).

Properties
- total moment (μB/atom) = 0.0000
- volume (Å³/f.u.) = 68.8
- SG = P4/mmm (123)

```
4
Lattice="-2.129 1.489 1.350 -0.301 -2.181 1.930 5.446 3.465 4.763" Properties=species:S:1:pos:R:3 pbc="T T T"
Au 5.433 3.457 4.752
Au 2.735 1.740 2.392
Pt 0.147 0.520 2.831
Ta 2.869 2.253 5.213
```

Relative energies, unit meV per atom: a 225; b 0; c 84